A plane-wave DFT calculation with PBE was carried out for a geometry-optimized TaCuTc structure.

Calculated values
The value obtained for the total moment is 0.00 μB per cell. As for the volume: 53.9 Å³/cell. For the total energy, the calculation gives -24.04 eV/cell. The calculation puts the energy above the most stable polymorph in this dataset at 74.1 kJ/mol of atoms. The crystal system is cubic. As for the space group: No. 216.

POSCAR file:
```
TaCuTc
1.0
-1.2069 -3.9044 1.1286
2.4008 -2.2780 2.6499
-1.3311 -0.7471 3.9554
Cu Ta Tc
1 1 1
Direct
0.5000 0.5000 0.5000 Cu
0.7500 0.7500 0.7500 Ta
0.0000 0.0000 0.0000 Tc
```